(1)
Compound: FeCo2Os
Source: Alexandria via LeMat-Bulk
Functional: PBE-GGA
Structure: relaxed

Cell lengths 2.617, 2.617, 6.943 Å; angles 90.00, 90.00, 90.00 degrees
Space group P4mm (No. 99)
Unique sites:
Fe (0.000, 0.000, 0.000) (multiplicity 1)
Co (0.000, 0.000, 0.525) (multiplicity 1)
Co (0.500, 0.500, 0.758) (multiplicity 1)
Os (0.500, 0.500, 0.264) (multiplicity 1)

Results
The formation energy from the elements comes out at 0.14 eV/atom. As for the total energy: -8.340 eV per atom. The value obtained for the excess energy over the best structure of this formula in the dataset is 4.1 kJ per mole of atoms.


(2)
Compound: La2GaNiGe
Source: Alexandria via LeMat-Bulk
Functional: PBE-GGA
Structure: relaxed

Cell lengths 4.346, 4.346, 13.653 Å; angles 90.00, 90.00, 90.00 degrees
Space group P4/nmm (No. 129, origin choice 2)
Unique sites:
La (0.250, 0.250, 0.113) (multiplicity 2)
La (0.250, 0.250, 0.662) (multiplicity 2)
Ga (0.250, 0.250, 0.413) (multiplicity 2)
Ni (0.250, 0.750, 0.500) (multiplicity 2)
Ge (0.250, 0.250, 0.884) (multiplicity 2)

Results
The formation energy from the elements comes out at -0.60 eV/atom. As for the total energy: -5.252 eV per atom.


(3)
Compound: Ba6As3S
Source: Alexandria via LeMat-Bulk
Functional: PBE-GGA
Structure: relaxed

Cell lengths 7.871, 8.744, 14.111 Å; angles 90.00, 122.96, 90.00 degrees
Space group P2_1/c (No. 14)
Unique sites:
Ba (0.098, 0.062, 0.252) (multiplicity 4)
Ba (0.265, 0.688, 0.080) (multiplicity 4)
Ba (0.402, 0.189, 0.080) (multiplicity 4)
As (0.000, 0.000, 0.000) (multiplicity 2)
As (0.300, 0.098, 0.751) (multiplicity 4)
S (0.500, 0.000, 0.500) (multiplicity 2)

Results
As for the total energy: -4.133 eV per atom. As for the formation energy without anion corrections: -1171.5 meV/atom.


(4)
Compound: CoMo2Au
Source: Alexandria via LeMat-Bulk
Functional: PBE-GGA
Structure: relaxed

Cell lengths 3.229, 3.229, 5.843 Å; angles 90.00, 90.00, 90.00 degrees
Space group P4mm (No. 99)
Unique sites:
Co (0.000, 0.000, 0.000) (multiplicity 1)
Mo (0.000, 0.000, 0.458) (multiplicity 1)
Mo (0.500, 0.500, 0.218) (multiplicity 1)
Au (0.500, 0.500, 0.747) (multiplicity 1)

Results
The formation energy from the elements comes out at 0.21 eV/atom. As for the total energy: -7.799 eV per atom. The value obtained for the excess energy over the best structure of this formula in the dataset is 5.7 kJ per mole of atoms.


(5)
Compound: Fe3AsPt
Source: Alexandria via LeMat-Bulk
Functional: PBE-GGA
Structure: relaxed

Cell lengths 4.335, 4.335, 4.335 Å; angles 90.00, 90.00, 90.00 degrees
Space group Pm-3m (No. 221)
Unique sites:
Fe (0.000, 0.000, 0.500) (multiplicity 3)
As (0.000, 0.000, 0.000) (multiplicity 1)
Pt (0.500, 0.500, 0.500) (multiplicity 1)

Results
The formation energy from the elements comes out at 0.72 eV/atom. As for the total energy: -6.492 eV per atom. The value obtained for the excess energy over the best structure of this formula in the dataset is 0.0 kJ per mole of atoms.


(6)
Compound: Ca2As2I
Source: Alexandria via LeMat-Bulk
Functional: PBE-GGA
Structure: relaxed

Cell lengths 5.596, 5.596, 9.447 Å; angles 90.00, 90.00, 90.00 degrees
Space group I4/mmm (No. 139)
Unique sites:
Ca (0.000, 0.500, 0.250) (multiplicity 4)
As (0.000, 0.000, 0.126) (multiplicity 4)
I (0.000, 0.000, 0.500) (multiplicity 2)

Results
As for the total energy: -3.885 eV per atom. As for the formation energy without anion corrections: -914.1 meV/atom. The value obtained for the excess energy over the best structure of this formula in the dataset is 3.5 kJ per mole of atoms.


(7)
Compound: MgOs2Pb
Source: Alexandria via LeMat-Bulk
Functional: PBE-GGA
Structure: relaxed

Cell lengths 4.090, 4.090, 8.187 Å; angles 90.00, 90.00, 90.00 degrees
Space group I-4m2 (No. 119)
Unique sites:
Mg (0.000, 0.000, 0.000) (multiplicity 2)
Os (0.000, 0.000, 0.500) (multiplicity 2)
Os (0.000, 0.500, 0.750) (multiplicity 2)
Pb (0.000, 0.500, 0.250) (multiplicity 2)

Results
The formation energy from the elements comes out at 0.74 eV/atom. As for the total energy: -6.198 eV per atom.


(8)
Compound: Pa3ZnTc2Sn3
Source: Alexandria via LeMat-Bulk
Functional: PBE-GGA
Structure: relaxed

Cell lengths 7.6516, 7.6516, 3.8567 Å; angles 90.00, 90.00, 120.00 degrees
Space group P-62m (No. 189)
Unique sites:
Pa (0.0000, 0.4047, 0.0000) (multiplicity 3)
Zn (0.0000, 0.0000, 0.0000) (multiplicity 1)
Tc (0.3333, 0.6667, 0.5000) (multiplicity 2)
Sn (0.0000, 0.7367, 0.5000) (multiplicity 3)

Results
The formation energy from the elements comes out at -0.27 eV/atom. As for the total energy: -7.216 eV per atom.


(9)
Compound: Sb2MoRuBr
Source: Alexandria via LeMat-Bulk
Functional: PBE-GGA
Structure: relaxed

Cell lengths 5.277, 5.277, 4.733 Å; angles 90.00, 90.00, 90.00 degrees
Space group P4/mmm (No. 123)
Unique sites:
Sb (0.000, 0.500, 0.000) (multiplicity 2)
Mo (0.000, 0.000, 0.000) (multiplicity 1)
Ru (0.000, 0.000, 0.500) (multiplicity 1)
Br (0.500, 0.500, 0.500) (multiplicity 1)

Results
As for the total energy: -5.150 eV per atom. As for the formation energy without anion corrections: 855.0 meV/atom.


(10)
Compound: Be3In
Source: Alexandria via LeMat-Bulk
Functional: PBE-GGA
Structure: relaxed

Cell lengths 5.892, 5.892, 5.892 Å; angles 90.00, 90.00, 90.00 degrees
Space group Fm-3m (No. 225)
Unique sites:
Be (0.000, 0.000, 0.000) (multiplicity 4)
Be (0.250, 0.250, 0.250) (multiplicity 8)
In (0.000, 0.000, 0.500) (multiplicity 4)

Results
The formation energy from the elements comes out at 0.68 eV/atom. As for the total energy: -2.797 eV per atom. The value obtained for the excess energy over the best structure of this formula in the dataset is 43.4 kJ per mole of atoms.


(11)
Compound: BaCu2Ag
Source: Alexandria via LeMat-Bulk
Functional: PBE-GGA
Structure: relaxed

Cell lengths 3.317, 3.531, 7.279 Å; angles 90.00, 90.00, 90.00 degrees
Space group Pmm2 (No. 25)
Unique sites:
Ba (0.000, 0.000, 0.000) (multiplicity 1)
Cu (0.000, 0.000, 0.457) (multiplicity 1)
Cu (0.500, 0.500, 0.314) (multiplicity 1)
Ag (0.500, 0.500, 0.662) (multiplicity 1)

Results
The formation energy from the elements comes out at 0.18 eV/atom. As for the total energy: -3.061 eV per atom.


(12)
Compound: La5Pm2Sm12
Source: Alexandria via LeMat-Bulk
Functional: PBE-GGA
Structure: relaxed

Cell lengths 18.250, 9.367, 8.938 Å; angles 90.00, 118.05, 90.00 degrees
Space group C2/m (No. 12)
Unique sites:
La (0.000, 0.000, 0.000) (multiplicity 2)
La (0.220, 0.500, 0.734) (multiplicity 4)
La (0.234, 0.000, 0.809) (multiplicity 4)
Pm (0.000, 0.330, 0.500) (multiplicity 4)
Sm (0.045, 0.000, 0.687) (multiplicity 4)
Sm (0.079, 0.500, 0.240) (multiplicity 4)
Sm (0.118, 0.290, 0.951) (multiplicity 8)
Sm (0.149, 0.179, 0.419) (multiplicity 8)

Results
The formation energy from the elements comes out at 0.19 eV/atom. As for the total energy: -4.586 eV per atom.


(13)
Compound: LaZrCo2
Source: Alexandria via LeMat-Bulk
Functional: PBE-GGA
Structure: relaxed

Cell lengths 3.814, 3.814, 10.114 Å; angles 90.00, 90.00, 90.00 degrees
Space group I-4m2 (No. 119)
Unique sites:
La (0.000, 0.000, 0.000) (multiplicity 2)
Zr (0.000, 0.500, 0.750) (multiplicity 2)
Co (0.000, 0.000, 0.500) (multiplicity 2)
Co (0.000, 0.500, 0.250) (multiplicity 2)

Results
The formation energy from the elements comes out at 0.17 eV/atom. As for the total energy: -6.749 eV per atom. The value obtained for the excess energy over the best structure of this formula in the dataset is 27.4 kJ per mole of atoms.